# LiCe2Rh4

A relaxed structure of LiCe2Rh4 (PBE, Alexandria).

Calculated values
**ΔE to the lowest computed polymorph**: 52 meV/atom
**DFT formation energy**: -0.3765 eV per atom

a = 5.9673 Å, b = 5.9673 Å, c = 5.6847 Å
α = 121.71°, β = 121.70°, γ = 89.93°
Fractional coordinates of all 7 atoms:
Li (0.9998, 0.9998, 0.9997)
Ce (0.7499, 0.2500, 0.5000)
Ce (0.2501, 0.7501, 0.5000)
Rh (0.7230, 0.2772, 0.0002)
Rh (0.2771, 0.7228, 0.9999)
Rh (0.2768, 0.2768, 0.0001)
Rh (0.7233, 0.7233, 0.0001)